1.
DFT (PBE) results for a geometry-optimized CoSiBr structure.

The structure belongs to space group F-43m (No. 216); the cell edges are 6.1549, 6.1549 and 6.1549 Å and the angles 90.00°, 90.00° and 90.00°. The asymmetric unit holds Co at (0.0000, 0.0000, 0.0000), Si at (0.2500, 0.2500, 0.7500) and Br at (0.0000, 0.0000, 0.5000).

The calculation puts the density of states at the Fermi level at 11.63 states/eV/cell. The value obtained for the total DFT energy (no corrections) is -0.1367 Ha/atom. Its crystal system is cubic. Its energy above the most stable polymorph in this dataset is 372.8 kJ/mol of formula units.


2.
DFT (PBE) results for a geometry-optimized Co2SiBr structure.

The structure belongs to space group C2/m (No. 12); the cell edges are 5.7517, 7.8077 and 3.1043 Å and the angles 90.00°, 122.56° and 90.00°. The asymmetric unit holds Co at (0.2500, 0.2500, 0.0000), Si at (0.0000, 0.0000, 0.0000) and Br at (0.0000, 0.5000, 0.0000).

The calculation puts the density of states at the Fermi level at 11.22 states/eV/cell. The value obtained for the total DFT energy (no corrections) is -0.1717 Ha/atom. Its crystal system is monoclinic. Its energy above the most stable polymorph in this dataset is 232.3 kJ/mol of formula units.